(1)
Entry from the Alexandria database: an optimized crystal structure of HfZr2InRu (GGA-PBE).

Results
* formation energy from the elements: 21.28 kcal/mol of atoms

Geometry as POSCAR:
```
HfZr2InRu
1.0
5.200 0.000 0.000
0.000 5.200 0.000
0.000 0.000 4.681
Hf Zr In Ru
1 2 1 1
direct
0.000 0.000 0.000
0.000 0.500 0.000
0.500 0.000 0.000
0.500 0.500 0.500
0.000 0.000 0.500
```

---

(2)
Entry from the Alexandria database: an optimized crystal structure of MnFeH4 (GGA-PBE).

Results
* E_tot: -31.0 eV for the cell shown

Geometry as POSCAR:
```
MnFeH4
1.0
2.891 0.000 0.000
0.000 2.891 0.000
0.000 0.000 4.099
Mn Fe H
1 1 4
direct
0.000 0.000 0.000
0.500 0.500 0.500
0.000 0.500 0.260
0.000 0.500 0.740
0.500 0.000 0.260
0.500 0.000 0.740
```

---

no.,calculated volume (Å³/f.u.)
1,126.6
2,34.3